First-principles (GGA+U) data for an optimized crystal structure of NaCoBr2F, as listed in Alexandria via LeMat-Bulk.

Cell: 5.3012 5.3012 3.8881 Å, 90.00 90.00 90.00°
Space group P4/mmm (No. 123)
Asymmetric unit:
Na: 0.0000 0.0000 0.0000 [1 per cell]
Co: 0.5000 0.5000 0.5000 [1 per cell]
Br: 0.0000 0.5000 0.5000 [2 per cell]
F: 0.5000 0.5000 0.0000 [1 per cell]

Properties
VASP energy (hartree per atom): -0.1292